Computed, not measured: a relaxed CrTe2Pt crystal at the PBE level of DFT.

For the raw formation energy, the calculation gives 1.038 eV per formula unit. The value obtained for the distance to the lowest polymorph of the same formula is 0.441 eV/atom. The density of states at the Fermi level comes out at 3.96 states/eV/cell. The space-group type is Fm-3m, No. 225.

```
4
Lattice="0.000 3.447 3.447 3.447 0.000 3.447 3.447 3.447 0.000" Properties=species:S:1:pos:R:3 pbc="T T T"
Cr 0.000 0.000 0.000
Te 1.723 1.723 1.723
Te 5.170 5.170 5.170
Pt 3.447 3.447 3.447
```